! LiCo2BAsAu | the Alexandria database | GGA-PBE | optimized geometry; values from VASP
! Formation energy ... -0.068 eV per atom
! Size of the total moment ... 0.5 μB/f.u.
! Energy above the lowest structure with this stoichiometry ... 0.186 eV per atom
&SYSTEM
  ibrav = 0, nat = 6, ntyp = 5
/
ATOMIC_SPECIES
Li 6.94 Li.upf
Co 58.93 Co.upf
B 10.81 B.upf
As 74.92 As.upf
Au 196.97 Au.upf
ATOMIC_POSITIONS crystal
Li 0.0000 0.0000 0.0000
Co 0.5900 0.5900 0.5900
Co 0.8347 0.8347 0.8347
B 0.7116 0.7116 0.7116
As 0.2228 0.2228 0.2228
Au 0.4116 0.4116 0.4116
CELL_PARAMETERS angstrom
1.9989 1.1540 5.2856
-1.9989 1.1540 5.2856
0.0000 -2.3081 5.2856